Record 1
VASP calculation (PBE) on Ba2LiLa after structural relaxation.

Calculated values
energy relative to the elements = 289 meV per atom
magnetic moment = 0.00 μB per formula unit
VASP energy = -2.383 eV/atom

Cell lengths 6.3627, 6.3627, 6.3627 Å; angles 60.00, 60.00, 60.00 degrees
Element x y z (fractional)
Li1 0.0000 0.0000 0.0000
Ba1 0.2500 0.2500 0.2500
Ba2 0.7500 0.7500 0.7500
La1 0.5000 0.5000 0.5000

Record 2
VASP calculation (PBE) on PaBiAs2 after structural relaxation.

Calculated values
energy relative to the elements = -239 meV per atom
magnetic moment = 0.00 μB per formula unit
VASP energy = -5.908 eV/atom

Cell lengths 4.1335, 4.1335, 9.1466 Å; angles 76.94, 76.94, 60.00 degrees
Element x y z (fractional)
As1 0.1092 0.1092 0.6725
As2 0.8908 0.8908 0.3275
Pa1 0.5000 0.5000 0.5000
Bi1 0.0000 0.0000 0.0000

Record 3
VASP calculation (PBE) on MgFe2Ru after structural relaxation.

Calculated values
energy relative to the elements = 189 meV per atom
magnetic moment = 5.49 μB per formula unit
VASP energy = -6.760 eV/atom

Cell lengths 5.0604, 5.0604, 4.2741 Å; angles 64.94, 64.94, 34.25 degrees
Element x y z (fractional)
Fe1 0.9859 0.9859 0.0138
Fe2 0.5141 0.5141 0.4862
Mg1 0.7500 0.7500 0.7500
Ru1 0.2500 0.2500 0.2500